1.
BeAs2S after structural relaxation. Source: the Alexandria database, functional PBE.

Calculated values
As for the crystal system: tetragonal. The space-group type is I-42d (122). The calculation puts the formation energy (no corrections) at 245.7 meV per atom. As for the total magnetization: 0.000 Bohr magnetons per cell. The total DFT energy (no corrections) is -16.17 eV/f.u.

The structure in CIF format:
```
data_BeAs2S
_chemical_formula_sum 'Be4 As8 S4'
_space_group_name_H-M_alt 'P 1'
_space_group_IT_number 1
_space_group_name_Hall 'P 1'
_cell_length_a 5.4384
_cell_length_b 5.4384
_cell_length_c 11.1752
_cell_angle_alpha 90.00
_cell_angle_beta 90.00
_cell_angle_gamma 90.00
loop_
_atom_site_label
_atom_site_fract_x
_atom_site_fract_y
_atom_site_fract_z
_atom_site_occupancy
Be1 0.0000 0.0000 0.0000 1
Be2 0.0000 0.5000 0.2500 1
Be3 0.5000 0.0000 0.7500 1
Be4 0.5000 0.5000 0.5000 1
As1 0.1959 0.2500 0.1250 1
As2 0.2500 0.6959 0.3750 1
As3 0.2500 0.8041 0.8750 1
As4 0.3041 0.2500 0.6250 1
As5 0.6959 0.7500 0.6250 1
As6 0.7500 0.1959 0.8750 1
As7 0.7500 0.3041 0.3750 1
As8 0.8041 0.7500 0.1250 1
S1 0.0000 0.0000 0.5000 1
S2 0.0000 0.5000 0.7500 1
S3 0.5000 0.0000 0.2500 1
S4 0.5000 0.5000 0.0000 1
```



2.
AcY2Er after structural relaxation. Source: the Alexandria database, functional PBE.

Calculated values
As for the crystal system: tetragonal. The space-group type is P4/mmm (123). For the formation energy, the calculation gives 0.25 eV per formula unit. As for the total magnetization: 0.016 Bohr magnetons per cell. The total DFT energy (no corrections) is -21.35 eV/f.u.

The structure in CIF format:
```
data_AcY2Er
_chemical_formula_sum 'Ac1 Y2 Er1'
_space_group_name_H-M_alt 'P 1'
_space_group_IT_number 1
_space_group_name_Hall 'P 1'
_cell_length_a 5.1664
_cell_length_b 5.1664
_cell_length_c 5.2006
_cell_angle_alpha 90.00
_cell_angle_beta 90.00
_cell_angle_gamma 90.00
loop_
_atom_site_label
_atom_site_fract_x
_atom_site_fract_y
_atom_site_fract_z
_atom_site_occupancy
Ac1 0.0000 0.0000 0.0000 1
Y1 0.0000 0.5000 0.5000 1
Y2 0.5000 0.0000 0.5000 1
Er1 0.5000 0.5000 0.0000 1
```